## La2Nd5Y5 (PBE)

Data for La2Nd5Y5 after structural relaxation.

Unit cell a=17.3343 b=5.7863 c=10.0020 alpha=90.00 beta=125.07 gamma=90.00
Space group C2/m (No. 12)
Inequivalent atoms, fractional coordinates:
La 0.1226 0.0000 0.2842 (multiplicity 4)
Nd 0.0000 0.0000 0.5000 (multiplicity 2)
Nd 0.1226 0.0000 0.9563 (multiplicity 4)
Nd 0.2476 0.0000 0.7503 (multiplicity 4)
Y 0.0000 0.5000 0.0000 (multiplicity 2)
Y 0.1238 0.5000 0.4569 (multiplicity 4)
Y 0.1251 0.5000 0.7941 (multiplicity 4)

Summary:
Formation energy from the elements in eV per formula unit: 0.74
Total magnetic moment in μB/cell: 0.0
Energy relative to the lowest polymorph listed for this composition in meV/atom: 0.0